Arrangement A

PmZrP2 | PBE | relaxed

It has space group R3m (No. 160, hexagonal axes), with a = 3.8413 Å, b = 3.8413 Å, c = 20.3631 Å, α = 90.00°, β = 90.00° and γ = 120.00°. Symmetry generates all atoms from Pm at (0.0000, 0.0000, 0.0000), Zr at (0.0000, 0.0000, 0.1743), P at (0.0000, 0.0000, 0.5790) and P at (0.0000, 0.0000, 0.7631).

The size of the total moment is 0.0 μB/cell.



Arrangement B

PmZrP2 | PBE | relaxed

It has space group R-3m (No. 166, hexagonal axes), with a = 3.9010 Å, b = 3.9010 Å, c = 19.4537 Å, α = 90.00°, β = 90.00° and γ = 120.00°. Symmetry generates all atoms from Pm at (0.0000, 0.0000, 0.0000), Zr at (0.0000, 0.0000, 0.5000) and P at (0.0000, 0.0000, 0.2424).

The size of the total moment is 0.0 μB/cell.



Arrangement C

PmZrP2 | PBE | relaxed

It has space group Fm-3m (No. 225), with a = 6.813 Å, b = 6.813 Å, c = 6.813 Å, α = 90.00°, β = 90.00° and γ = 90.00°. Symmetry generates all atoms from Pm at (0.000, 0.000, 0.000), Zr at (0.000, 0.000, 0.500) and P at (0.250, 0.250, 0.250).

The size of the total moment is 0.0 μB/cell.



Stability ranking, top entry: arrangement B; the second entry is 0.113 eV/atom less favorable.



Arrangement A

Pr2PPt | PBE | relaxed

It has space group R3m (No. 160, hexagonal axes), with a = 4.1323 Å, b = 4.1323 Å, c = 21.7278 Å, α = 90.00°, β = 90.00° and γ = 120.00°. Symmetry generates all atoms from Pr at (0.0000, 0.0000, 0.0000), Pr at (0.0000, 0.0000, 0.1749), P at (0.0000, 0.0000, 0.5861) and Pt at (0.0000, 0.0000, 0.4205).

The size of the total moment is 0.0 μB/cell.



Arrangement B

Pr2PPt | PBE | relaxed

It has space group R-3m (No. 166, hexagonal axes), with a = 4.1627 Å, b = 4.1627 Å, c = 21.3067 Å, α = 90.00°, β = 90.00° and γ = 120.00°. Symmetry generates all atoms from Pr at (0.0000, 0.0000, 0.2478), P at (0.0000, 0.0000, 0.5000) and Pt at (0.0000, 0.0000, 0.0000).

The size of the total moment is 0.0 μB/cell.



Stability ranking, top entry: arrangement B; the second entry is 0.033 eV/atom less favorable.



Arrangement A

PrPRh3 | PBE | relaxed

It has space group I4mm (No. 107), with a = 4.109 Å, b = 4.109 Å, c = 10.322 Å, α = 90.00°, β = 90.00° and γ = 90.00°. Symmetry generates all atoms from Pr at (0.000, 0.000, 0.000), P at (0.000, 0.000, 0.357), Rh at (0.000, 0.000, 0.573) and Rh at (0.000, 0.500, 0.253).

The size of the total moment is 0.0 μB/cell.



Arrangement B

PrPRh3 | PBE | relaxed

It has space group Imma (No. 74), with a = 6.341 Å, b = 9.226 Å, c = 6.288 Å, α = 90.00°, β = 90.00° and γ = 90.00°. Symmetry generates all atoms from Pr at (0.000, 0.250, 0.038), P at (0.000, 0.000, 0.500), Rh at (0.000, 0.250, 0.551) and Rh at (0.250, 0.036, 0.750).

The size of the total moment is 0.0 μB/cell.



Arrangement C

PrPRh3 | PBE | relaxed

It has space group Pm-3m (No. 221), with a = 4.506 Å, b = 4.506 Å, c = 4.506 Å, α = 90.00°, β = 90.00° and γ = 90.00°. Symmetry generates all atoms from Pr at (0.000, 0.000, 0.000), P at (0.500, 0.500, 0.500) and Rh at (0.000, 0.500, 0.500).

The size of the total moment is 0.0 μB/cell.



Stability ranking, top entry: arrangement A; the second entry is 0.142 eV/atom less favorable.



Arrangement A

Pr2SbP | PBE | relaxed

It has space group Pmmn (No. 59, origin choice 2), with a = 4.286 Å, b = 7.566 Å, c = 7.601 Å, α = 90.00°, β = 90.00° and γ = 90.00°. Symmetry generates all atoms from Pr at (0.250, 0.006, 0.228), Sb at (0.250, 0.250, 0.579) and P at (0.250, 0.750, 0.918).

The size of the total moment is 0.0 μB/cell.



Arrangement B

Pr2SbP | PBE | relaxed

It has space group R3m (No. 160, hexagonal axes), with a = 4.3149 Å, b = 4.3149 Å, c = 22.4031 Å, α = 90.00°, β = 90.00° and γ = 120.00°. Symmetry generates all atoms from Pr at (0.0000, 0.0000, 0.0000), Pr at (0.0000, 0.0000, 0.1851), Sb at (0.0000, 0.0000, 0.7598) and P at (0.0000, 0.0000, 0.5912).

The size of the total moment is 0.0 μB/cell.



Stability ranking, top entry: arrangement B; the second entry is 0.081 eV/atom less favorable.



Arrangement A

PrScP2 | PBE | relaxed

It has space group R-3m (No. 166, hexagonal axes), with a = 3.9964 Å, b = 3.9964 Å, c = 19.4139 Å, α = 90.00°, β = 90.00° and γ = 120.00°. Symmetry generates all atoms from Pr at (0.0000, 0.0000, 0.0000), Sc at (0.0000, 0.0000, 0.5000) and P at (0.0000, 0.0000, 0.2409).

The size of the total moment is 0.0 μB/cell.



Arrangement B

PrScP2 | PBE | relaxed

It has space group R3m (No. 160, hexagonal axes), with a = 3.9662 Å, b = 3.9662 Å, c = 20.1568 Å, α = 90.00°, β = 90.00° and γ = 120.00°. Symmetry generates all atoms from Pr at (0.0000, 0.0000, 0.0000), Sc at (0.0000, 0.0000, 0.8279), P at (0.0000, 0.0000, 0.4212) and P at (0.0000, 0.0000, 0.5719).

The size of the total moment is 0.0 μB/cell.



Stability ranking, top entry: arrangement A; the second entry is 0.173 eV/atom less favorable.



Arrangement A

Pr2PSe | PBE | relaxed

It has space group Pmmn (No. 59, origin choice 2), with a = 4.212 Å, b = 5.981 Å, c = 8.556 Å, α = 90.00°, β = 90.00° and γ = 90.00°. Symmetry generates all atoms from Pr at (0.250, 0.250, 0.112), Pr at (0.250, 0.250, 0.645), P at (0.250, 0.750, 0.125) and Se at (0.250, 0.750, 0.621).

The size of the total moment is 0.0 μB/cell.



Arrangement B

Pr2PSe | PBE | relaxed

It has space group R3m (No. 160, hexagonal axes), with a = 4.1476 Å, b = 4.1476 Å, c = 21.9617 Å, α = 90.00°, β = 90.00° and γ = 120.00°. Symmetry generates all atoms from Pr at (0.0000, 0.0000, 0.0000), Pr at (0.0000, 0.0000, 0.1835), P at (0.0000, 0.0000, 0.5928) and Se at (0.0000, 0.0000, 0.4240).

The size of the total moment is 0.0 μB/cell.



Arrangement C

Pr2PSe | PBE | relaxed

It has space group Pmmn (No. 59, origin choice 2), with a = 4.184 Å, b = 7.265 Å, c = 7.325 Å, α = 90.00°, β = 90.00° and γ = 90.00°. Symmetry generates all atoms from Pr at (0.250, 0.003, 0.234), P at (0.250, 0.750, 0.916) and Se at (0.250, 0.250, 0.580).

The size of the total moment is 0.0 μB/cell.



Stability ranking, top entry: arrangement A; the second entry is 0.066 eV/atom less favorable.



Arrangement A

Pr3PSe2 | PBE | relaxed

It has space group C2/c (No. 15), with a = 7.399 Å, b = 12.727 Å, c = 7.336 Å, α = 90.00°, β = 109.60° and γ = 90.00°. Symmetry generates all atoms from Pr at (0.231, 0.077, 0.001), Pr at (0.250, 0.250, 0.500), P at (0.000, 0.086, 0.250), Se at (0.000, 0.253, 0.750) and Se at (0.000, 0.417, 0.250).

The size of the total moment is 0.0 μB/cell.



Arrangement B

Pr3PSe2 | PBE | relaxed

It has space group Immm (No. 71), with a = 4.214 Å, b = 5.985 Å, c = 12.900 Å, α = 90.00°, β = 90.00° and γ = 90.00°. Symmetry generates all atoms from Pr at (0.000, 0.000, 0.000), Pr at (0.000, 0.000, 0.346), P at (0.000, 0.500, 0.000) and Se at (0.000, 0.500, 0.331).

The size of the total moment is 0.0 μB/cell.



Stability ranking, top entry: arrangement B; the second entry is 0.005 eV/atom less favorable.



Arrangement A

Pr3P2Se | PBE | relaxed

It has space group Cmcm (No. 63), with a = 4.383 Å, b = 14.069 Å, c = 11.307 Å, α = 90.00°, β = 90.00° and γ = 90.00°. Symmetry generates all atoms from Pr at (0.000, 0.098, 0.250), Pr at (0.000, 0.371, 0.066), P at (0.000, 0.000, 0.000), P at (0.000, 0.487, 0.250) and Se at (0.000, 0.241, 0.750).

The size of the total moment is 2.9 μB/cell.



Arrangement B

Pr3P2Se | PBE | relaxed

It has space group Immm (No. 71), with a = 4.215 Å, b = 5.984 Å, c = 12.698 Å, α = 90.00°, β = 90.00° and γ = 90.00°. Symmetry generates all atoms from Pr at (0.000, 0.000, 0.000), Pr at (0.000, 0.000, 0.324), P at (0.000, 0.500, 0.335) and Se at (0.000, 0.500, 0.000).

The size of the total moment is 0.0 μB/cell.



Stability ranking, top entry: arrangement B; the second entry is 0.552 eV/atom less favorable.



Arrangement A

TbPrP2 | PBE | relaxed

It has space group R3m (No. 160, hexagonal axes), with a = 4.0763 Å, b = 4.0763 Å, c = 21.0167 Å, α = 90.00°, β = 90.00° and γ = 120.00°. Symmetry generates all atoms from Tb at (0.0000, 0.0000, 0.0000), Pr at (0.0000, 0.0000, 0.8284), P at (0.0000, 0.0000, 0.2505) and P at (0.0000, 0.0000, 0.4124).

The size of the total moment is 0.0 μB/cell.



Arrangement B

TbPrP2 | PBE | relaxed

It has space group R-3m (No. 166, hexagonal axes), with a = 4.1201 Å, b = 4.1201 Å, c = 20.1473 Å, α = 90.00°, β = 90.00° and γ = 120.00°. Symmetry generates all atoms from Tb at (0.0000, 0.0000, 0.0000), Pr at (0.0000, 0.0000, 0.5000) and P at (0.0000, 0.0000, 0.2535).

The size of the total moment is 0.0 μB/cell.



Stability ranking, top entry: arrangement B; the second entry is 0.179 eV/atom less favorable.



Arrangement A

PrTmP2 | PBE | relaxed

It has space group R3m (No. 160, hexagonal axes), with a = 4.0426 Å, b = 4.0426 Å, c = 20.7814 Å, α = 90.00°, β = 90.00° and γ = 120.00°. Symmetry generates all atoms from Pr at (0.0000, 0.0000, 0.0000), Tm at (0.0000, 0.0000, 0.8284), P at (0.0000, 0.0000, 0.4174) and P at (0.0000, 0.0000, 0.5762).

The size of the total moment is 0.0 μB/cell.



Arrangement B

PrTmP2 | PBE | relaxed

It has space group R-3m (No. 166, hexagonal axes), with a = 4.0821 Å, b = 4.0821 Å, c = 19.9388 Å, α = 90.00°, β = 90.00° and γ = 120.00°. Symmetry generates all atoms from Pr at (0.0000, 0.0000, 0.0000), Tm at (0.0000, 0.0000, 0.5000) and P at (0.0000, 0.0000, 0.2448).

The size of the total moment is 0.0 μB/cell.



Stability ranking, top entry: arrangement B; the second entry is 0.183 eV/atom less favorable.



Arrangement A

Pr2UP3 | PBE | relaxed

It has space group Fddd (No. 70, origin choice 2), with a = 8.235 Å, b = 11.620 Å, c = 24.556 Å, α = 90.00°, β = 90.00° and γ = 90.00°. Symmetry generates all atoms from Pr at (0.125, 0.125, 0.043), Pr at (0.125, 0.125, 0.373), U at (0.125, 0.125, 0.541), P at (0.107, 0.375, 0.875) and P at (0.116, 0.366, 0.712).

The size of the total moment is 33.6 μB/cell.



Arrangement B

Pr2UP3 | PBE | relaxed

It has space group Immm (No. 71), with a = 4.083 Å, b = 5.803 Å, c = 12.409 Å, α = 90.00°, β = 90.00° and γ = 90.00°. Symmetry generates all atoms from Pr at (0.000, 0.000, 0.168), U at (0.000, 0.000, 0.500), P at (0.000, 0.500, 0.154) and P at (0.000, 0.500, 0.500).

The size of the total moment is 4.4 μB/cell.



Stability ranking, top entry: arrangement A; the second entry is 0.008 eV/atom less favorable.



Arrangement A

PrVP2 | PBE | relaxed

It has space group R-3m (No. 166, hexagonal axes), with a = 4.3229 Å, b = 4.3229 Å, c = 22.5762 Å, α = 90.00°, β = 90.00° and γ = 120.00°. Symmetry generates all atoms from Pr at (0.0000, 0.0000, 0.0000), V at (0.0000, 0.0000, 0.5000) and P at (0.0000, 0.0000, 0.4000).

The size of the total moment is 6.1 μB/cell.



Arrangement B

PrVP2 | PBE | relaxed

It has space group I-4m2 (No. 119), with a = 3.746 Å, b = 3.746 Å, c = 11.942 Å, α = 90.00°, β = 90.00° and γ = 90.00°. Symmetry generates all atoms from Pr at (0.000, 0.000, 0.000), V at (0.000, 0.500, 0.750) and P at (0.000, 0.000, 0.366).

The size of the total moment is 3.5 μB/cell.



Stability ranking, top entry: arrangement B; the second entry is 0.766 eV/atom less favorable.